# 1
First-principles (PBE) data for crystalline LuZnPt at its relaxed geometry, as listed in Alexandria via LeMat-Bulk.

The structure belongs to space group F-43m (No. 216); the cell edges are 6.385, 6.385 and 6.385 Å and the angles 90.00°, 90.00° and 90.00°. The asymmetric unit holds Lu at (0.000, 0.000, 0.000), Zn at (0.000, 0.000, 0.500) and Pt at (0.250, 0.250, 0.250).

The total energy comes out at -0.1760 Ha/atom. Its formation enthalpy at 0 K is -0.844 eV per atom.

# 2
First-principles (PBE) data for crystalline La8SiOs3Cl4 at its relaxed geometry, as listed in Alexandria via LeMat-Bulk.

The structure belongs to space group R-3m (No. 166, hexagonal axes); the cell edges are 8.4616, 8.4616 and 22.5449 Å and the angles 90.00°, 90.00° and 120.00°. The asymmetric unit holds La at (0.0000, 0.0000, 0.2385), La at (0.0146, 0.5073, 0.7658), Si at (0.0000, 0.0000, 0.5000), Os at (0.0000, 0.5000, 0.5000), Cl at (0.0000, 0.0000, 0.0000) and Cl at (0.0000, 0.5000, 0.0000).

The total energy comes out at -0.2342 Ha/atom.

# 3
First-principles (PBE) data for crystalline PmSmSnPb at its relaxed geometry, as listed in Alexandria via LeMat-Bulk.

The structure belongs to space group Amm2 (No. 38); the cell edges are 4.443, 4.618 and 11.775 Å and the angles 90.00°, 90.00° and 90.00°. The asymmetric unit holds Pm at (0.000, 0.000, 0.000), Sm at (0.500, 0.000, 0.733), Sn at (0.000, 0.000, 0.271) and Pb at (0.500, 0.000, 0.460).

The total energy comes out at -0.1821 Ha/atom. As for the energy above the lowest structure with this stoichiometry: 0 meV/atom. Its formation enthalpy at 0 K is -0.659 eV per atom.

# 4
First-principles (PBE) data for crystalline La5Hg3 at its relaxed geometry, as listed in Alexandria via LeMat-Bulk.

The structure belongs to space group P6_3/mcm (No. 193); the cell edges are 9.3204, 9.3204 and 6.9506 Å and the angles 90.00°, 90.00° and 120.00°. The asymmetric unit holds La at (0.0000, 0.2393, 0.2500), La at (0.3333, 0.6667, 0.0000) and Hg at (0.0000, 0.4010, 0.7500).

The total energy comes out at -0.1301 Ha/atom. As for the energy above the lowest structure with this stoichiometry: 21 meV/atom. Its formation enthalpy at 0 K is -0.348 eV per atom.

# 5
First-principles (PBE) data for crystalline DyNi4Ge4 at its relaxed geometry, as listed in Alexandria via LeMat-Bulk.

The structure belongs to space group I4/m (No. 87); the cell edges are 8.024, 8.024 and 4.589 Å and the angles 90.00°, 90.00° and 90.00°. The asymmetric unit holds Dy at (0.000, 0.000, 0.000), Ni at (0.170, 0.315, 0.500) and Ge at (0.120, 0.379, 0.000).

The total energy comes out at -0.1994 Ha/atom. Its formation enthalpy at 0 K is -0.292 eV per atom.

# 6
First-principles (PBE) data for crystalline TcAg at its relaxed geometry, as listed in Alexandria via LeMat-Bulk.

The structure belongs to space group Pm-3m (No. 221); the cell edges are 3.175, 3.175 and 3.175 Å and the angles 90.00°, 90.00° and 90.00°. The asymmetric unit holds Tc at (0.000, 0.000, 0.000) and Ag at (0.500, 0.500, 0.500).

The total energy comes out at -0.2072 Ha/atom. As for the energy above the lowest structure with this stoichiometry: 798 meV/atom. Its formation enthalpy at 0 K is 0.971 eV per atom.

# 7
First-principles (PBE) data for crystalline CeTl2Pd at its relaxed geometry, as listed in Alexandria via LeMat-Bulk.

The structure belongs to space group P4/mmm (No. 123); the cell edges are 4.458, 4.458 and 5.024 Å and the angles 90.00°, 90.00° and 90.00°. The asymmetric unit holds Ce at (0.000, 0.000, 0.000), Tl at (0.000, 0.500, 0.500) and Pd at (0.500, 0.500, 0.000).

The total energy comes out at -0.1548 Ha/atom. As for the energy above the lowest structure with this stoichiometry: 139 meV/atom. Its formation enthalpy at 0 K is -0.247 eV per atom.

# 8
First-principles (PBE) data for crystalline EuTmCdAu at its relaxed geometry, as listed in Alexandria via LeMat-Bulk.

The structure belongs to space group F-43m (No. 216); the cell edges are 7.428, 7.428 and 7.428 Å and the angles 90.00°, 90.00° and 90.00°. The asymmetric unit holds Eu at (0.000, 0.000, 0.000), Tm at (0.000, 0.000, 0.500), Cd at (0.250, 0.250, 0.250) and Au at (0.250, 0.250, 0.750).

The total energy comes out at -0.1929 Ha/atom. Its formation enthalpy at 0 K is -0.515 eV per atom.

# 9
First-principles (PBE) data for crystalline Er3ScRh4 at its relaxed geometry, as listed in Alexandria via LeMat-Bulk.

The structure belongs to space group P4/mmm (No. 123); the cell edges are 3.296, 3.296 and 13.890 Å and the angles 90.00°, 90.00° and 90.00°. The asymmetric unit holds Er at (0.000, 0.000, 0.000), Er at (0.000, 0.000, 0.255), Sc at (0.000, 0.000, 0.500), Rh at (0.500, 0.500, 0.128) and Rh at (0.500, 0.500, 0.385).

The total energy comes out at -0.2617 Ha/atom. Its formation enthalpy at 0 K is -0.943 eV per atom.

# 10
First-principles (PBE) data for crystalline HfZnAu3 at its relaxed geometry, as listed in Alexandria via LeMat-Bulk.

The structure belongs to space group Pm-3m (No. 221); the cell edges are 4.718, 4.718 and 4.718 Å and the angles 90.00°, 90.00° and 90.00°. The asymmetric unit holds Hf at (0.000, 0.000, 0.000), Zn at (0.500, 0.500, 0.500) and Au at (0.000, 0.500, 0.500).

The total energy comes out at -0.1406 Ha/atom. As for the energy above the lowest structure with this stoichiometry: 654 meV/atom. Its formation enthalpy at 0 K is 0.386 eV per atom.

# 11
First-principles (PBE) data for crystalline Ac6Hg2Ru3 at its relaxed geometry, as listed in Alexandria via LeMat-Bulk.

The structure belongs to space group C2/m (No. 12); the cell edges are 7.452, 12.922 and 8.472 Å and the angles 90.00°, 106.97° and 90.00°. The asymmetric unit holds Ac at (0.230, 0.168, 0.196), Ac at (0.235, 0.500, 0.197), Hg at (0.000, 0.166, 0.500), Ru at (0.000, 0.000, 0.000) and Ru at (0.000, 0.335, 0.000).

The total energy comes out at -0.1856 Ha/atom. Its formation enthalpy at 0 K is -0.226 eV per atom.

# 12
First-principles (PBE) data for crystalline YSiSe2 at its relaxed geometry, as listed in Alexandria via LeMat-Bulk.

The structure belongs to space group I-4m2 (No. 119); the cell edges are 3.987, 3.987 and 11.005 Å and the angles 90.00°, 90.00° and 90.00°. The asymmetric unit holds Y at (0.000, 0.000, 0.000), Si at (0.000, 0.500, 0.250), Se at (0.000, 0.000, 0.500) and Se at (0.000, 0.500, 0.750).

The total energy comes out at -0.1979 Ha/atom. As for the energy above the lowest structure with this stoichiometry: 277 meV/atom.

> Which value of total energy does entry 9 give?

-0.2617 Ha/atom

Copy entry 4 word for word.
First-principles (PBE) data for crystalline La5Hg3 at its relaxed geometry, as listed in Alexandria via LeMat-Bulk.

The structure belongs to space group P6_3/mcm (No. 193); the cell edges are 9.3204, 9.3204 and 6.9506 Å and the angles 90.00°, 90.00° and 120.00°. The asymmetric unit holds La at (0.0000, 0.2393, 0.2500), La at (0.3333, 0.6667, 0.0000) and Hg at (0.0000, 0.4010, 0.7500).

The total energy comes out at -0.1301 Ha/atom. As for the energy above the lowest structure with this stoichiometry: 21 meV/atom. Its formation enthalpy at 0 K is -0.348 eV per atom.